This record from the Alexandria database describes a geometry-optimized CdMoNF2 structure. The functional is GGA+U.

CIF file:
```
data_CdMoNF2
_space_group_name_H-M_alt 'P 1'
_space_group_IT_number 1
_space_group_name_Hall 'P 1'
_cell_length_a 4.2697
_cell_length_b 4.2697
_cell_length_c 4.0959
_cell_angle_alpha 90.00
_cell_angle_beta 90.00
_cell_angle_gamma 90.00
loop_
_atom_site_label
_atom_site_type_symbol
_atom_site_fract_x
_atom_site_fract_y
_atom_site_fract_z
N1 N 0.0000 0.0000 0.5000
Mo1 Mo 0.0000 0.0000 0.0000
F1 F 0.0000 0.5000 0.0000
F2 F 0.5000 0.0000 0.0000
Cd1 Cd 0.5000 0.5000 0.5000
```

total moment: 2.22 Bohr magnetons per cell
offset from the most stable computed form: 0.000 eV/atom